{
  "formula": "K3Pm2DyTe6",
  "functional": "PBE",
  "state": "optimized geometry",
  "raw_formation_energy_ev_per_atom": -1.409,
  "total_energy_ev_per_cell": -53.2,
  "space_group": "C2/m, No. 12",
  "cell": [[7.899, -0.001, 0.000], [-3.949, 6.842, 0.000], [-1.318, -2.282, 8.249]],
  "species": ["K", "K", "K", "Dy", "Te", "Te", "Te", "Te", "Te", "Te", "Pm", "Pm"],
  "frac_coords": [[0.831, 0.169, 0.500], [0.169, 0.831, 0.500], [0.500, 0.500, 0.500], [0.000, 0.000, 0.000], [0.257, 0.257, 0.788], [0.930, 0.602, 0.788], [0.602, 0.930, 0.788], [0.070, 0.398, 0.212], [0.398, 0.070, 0.212], [0.743, 0.743, 0.212], [0.666, 0.334, 0.000], [0.334, 0.666, 0.000]]
}